! Ca3VAg PBE-GGA optimized geometry; values from VASP
! Symmetry   Pm-3m (221)
! ΔH_f (0 K)   0.723 eV per atom
&SYSTEM
  ibrav = 0, nat = 5, ntyp = 3
/
ATOMIC_SPECIES
Ag 107.87 Ag.upf
V 50.94 V.upf
Ca 40.08 Ca.upf
CELL_PARAMETERS angstrom
5.750 0.000 0.000
0.000 5.750 0.000
0.000 0.000 5.750
ATOMIC_POSITIONS angstrom
Ag 2.875 2.875 2.875
V 0.000 0.000 0.000
Ca 2.875 0.000 0.000
Ca 0.000 2.875 0.000
Ca 0.000 0.000 2.875


! BaLi2Ca PBE-GGA optimized geometry; values from VASP
! Symmetry   R-3m (166)
! ΔH_f (0 K)   0.171 eV per atom
&SYSTEM
  ibrav = 0, nat = 4, ntyp = 3
/
ATOMIC_SPECIES
Ba 137.33 Ba.upf
Li 6.94 Li.upf
Ca 40.08 Ca.upf
CELL_PARAMETERS angstrom
-9.016 -5.919 -4.036
-6.634 -8.914 -3.024
-8.960 -7.228 -0.301
ATOMIC_POSITIONS angstrom
Ba -6.152 -5.515 -1.840
Li -12.200 -10.937 -3.649
Li -0.104 -0.094 -0.031
Ca -18.457 -16.546 -5.521


! TcBr2F PBE-GGA optimized geometry; values from VASP
! Symmetry   C2/m (12)
! Formation energy from raw total energies   -797 meV per atom
&SYSTEM
  ibrav = 0, nat = 4, ntyp = 3
/
ATOMIC_SPECIES
Tc 98.00 Tc.upf
Br 79.90 Br.upf
F 19.00 F.upf
CELL_PARAMETERS angstrom
-2.026 -0.410 -2.931
-0.666 -3.902 1.006
-7.075 1.702 2.462
ATOMIC_POSITIONS angstrom
Tc -9.101 1.292 -0.468
Br -3.147 -3.612 0.487
F -7.408 -0.249 2.965
Br -6.620 1.002 0.051


The following polymorph energy (0 for the lowest one) values (in meV per atom) correspond, in order, to the records above: 189; 136; 0.
The following size of the total moment values (in μB/f.u.) correspond, in order, to the records above: 5.43; 0.00; 1.99.